<1>
PrMg4Ag | PBE | optimized geometry

Geometry as extended XYZ:
```
12
Lattice="4.401 0.000 0.000 0.000 7.680 0.000 0.000 0.000 8.705" Properties=species:S:1:pos:R:3 pbc="T T T"
Ag 0.000 6.106 2.176
Ag 0.000 1.574 6.528
Mg 2.200 5.321 3.859
Mg 2.200 2.360 8.212
Mg 2.200 0.412 2.176
Mg 2.200 5.321 0.493
Mg 2.200 7.269 6.528
Mg 0.000 0.000 4.352
Mg 2.200 2.360 4.845
Mg 0.000 0.000 0.000
Pr 0.000 4.696 6.528
Pr 0.000 2.984 2.176
```

Calculated values
Total moment   0.000 μB/cell



<2>
PrMg4Ag | PBE | optimized geometry

Geometry as extended XYZ:
```
6
Lattice="5.936 0.000 0.000 2.968 5.141 0.000 2.968 1.714 4.847" Properties=species:S:1:pos:R:3 pbc="T T T"
Ag 0.000 0.000 0.000
Pr 2.968 1.714 1.212
Mg 5.936 3.427 0.604
Mg 7.421 4.284 3.030
Mg 5.936 1.712 3.030
Mg 4.451 4.284 3.030
```

Calculated values
Total moment   0.000 μB/cell



Of them, <2> has the lowest stability.



<1>
Pr2Mg2Ag | PBE | optimized geometry

Geometry as extended XYZ:
```
5
Lattice="-1.192 0.903 5.064 -0.517 -4.857 -2.003 3.407 -3.221 6.891" Properties=species:S:1:pos:R:3 pbc="T T T"
Mg 0.381 -5.034 5.126
Mg 1.315 -2.142 4.826
Ag -0.259 -2.429 -1.001
Pr 1.879 -3.498 7.958
Pr -0.182 -3.678 1.994
```

Calculated values
Total moment   0.000 μB/cell



<2>
Pr2Mg2Ag | PBE | optimized geometry

Geometry as extended XYZ:
```
10
Lattice="5.203 0.000 0.000 2.601 5.520 -1.053 2.601 -1.109 9.601" Properties=species:S:1:pos:R:3 pbc="T T T"
Pr 5.203 3.203 5.533
Pr 7.804 0.441 8.638
Pr 2.601 3.970 -0.089
Pr 5.203 1.208 3.016
Mg 7.804 3.561 3.344
Mg 2.601 0.796 1.203
Mg 2.601 0.850 5.205
Mg 7.804 3.615 7.345
Ag 5.203 4.268 2.108
Ag 5.203 0.143 6.440
```

Calculated values
Total moment   0.000 μB/cell



Of them, <2> has the lowest stability.